Entry 1:
{
  "formula": "NaEuDyPb",
  "functional": "GGA-PBE",
  "state": "relaxed",
  "spacegroup": "No. 216",
  "density_g_cm3": 7.49,
  "formation_energy_kj_per_mol_atoms": -19.5,
  "dos_at_fermi_per_ev_fu": 9.60,
  "cell": [[7.8458, 0.0000, 0.0000], [0.0000, 7.8458, 0.0000], [0.0000, 0.0000, 7.8458]],
  "species": ["Na", "Na", "Na", "Na", "Eu", "Eu", "Eu", "Eu", "Dy", "Dy", "Dy", "Dy", "Pb", "Pb", "Pb", "Pb"],
  "fractional_positions": [[0.0000, 0.0000, 0.0000], [0.0000, 0.5000, 0.5000], [0.5000, 0.0000, 0.5000], [0.5000, 0.5000, 0.0000], [0.2500, 0.2500, 0.2500], [0.2500, 0.7500, 0.7500], [0.7500, 0.2500, 0.7500], [0.7500, 0.7500, 0.2500], [0.2500, 0.2500, 0.7500], [0.2500, 0.7500, 0.2500], [0.7500, 0.2500, 0.2500], [0.7500, 0.7500, 0.7500], [0.0000, 0.0000, 0.5000], [0.0000, 0.5000, 0.0000], [0.5000, 0.0000, 0.0000], [0.5000, 0.5000, 0.5000]]
}

=====

Entry 2:
{
  "formula": "NaEuDySn",
  "functional": "GGA-PBE",
  "state": "relaxed",
  "spacegroup": "No. 216",
  "density_g_cm3": 6.51,
  "formation_energy_kj_per_mol_atoms": -29.1,
  "dos_at_fermi_per_ev_fu": 9.72,
  "cell": [[7.7488, 0.0000, 0.0000], [0.0000, 7.7488, 0.0000], [0.0000, 0.0000, 7.7488]],
  "species": ["Na", "Na", "Na", "Na", "Eu", "Eu", "Eu", "Eu", "Dy", "Dy", "Dy", "Dy", "Sn", "Sn", "Sn", "Sn"],
  "fractional_positions": [[0.0000, 0.0000, 0.0000], [0.0000, 0.5000, 0.5000], [0.5000, 0.0000, 0.5000], [0.5000, 0.5000, 0.0000], [0.2500, 0.2500, 0.7500], [0.2500, 0.7500, 0.2500], [0.7500, 0.2500, 0.2500], [0.7500, 0.7500, 0.7500], [0.2500, 0.2500, 0.2500], [0.2500, 0.7500, 0.7500], [0.7500, 0.2500, 0.7500], [0.7500, 0.7500, 0.2500], [0.0000, 0.0000, 0.5000], [0.0000, 0.5000, 0.0000], [0.5000, 0.0000, 0.0000], [0.5000, 0.5000, 0.5000]]
}

=====

Entry 3:
{
  "formula": "NaEuDyTl",
  "functional": "GGA-PBE",
  "state": "relaxed",
  "spacegroup": "No. 216",
  "density_g_cm3": 7.40,
  "formation_energy_kj_per_mol_atoms": -7.4,
  "dos_at_fermi_per_ev_fu": 11.26,
  "cell": [[7.8649, 0.0000, 0.0000], [0.0000, 7.8649, 0.0000], [0.0000, 0.0000, 7.8649]],
  "species": ["Na", "Na", "Na", "Na", "Eu", "Eu", "Eu", "Eu", "Dy", "Dy", "Dy", "Dy", "Tl", "Tl", "Tl", "Tl"],
  "fractional_positions": [[0.0000, 0.0000, 0.0000], [0.0000, 0.5000, 0.5000], [0.5000, 0.0000, 0.5000], [0.5000, 0.5000, 0.0000], [0.2500, 0.2500, 0.7500], [0.2500, 0.7500, 0.2500], [0.7500, 0.2500, 0.2500], [0.7500, 0.7500, 0.7500], [0.2500, 0.2500, 0.2500], [0.2500, 0.7500, 0.7500], [0.7500, 0.2500, 0.7500], [0.7500, 0.7500, 0.2500], [0.0000, 0.0000, 0.5000], [0.0000, 0.5000, 0.0000], [0.5000, 0.0000, 0.0000], [0.5000, 0.5000, 0.5000]]
}